# 1
4
Lattice="0.000 3.870 3.870 3.870 0.000 3.870 3.870 3.870 0.000" Properties=species:S:1:pos:R:3 comment="EuThSnHg PBE relaxed" n_ef_per_ev_atom=0.95 total_energy_ev_per_cell=-23.68 vol_a3_per_cell=116 sg="F-43m, No. 216" pbc="T T T"
Eu 0.000 0.000 0.000
Th 3.870 3.870 3.870
Sn 1.935 1.935 1.935
Hg 5.805 5.805 5.805

=====

# 2
20
Lattice="4.951 -7.703 0.000 4.951 7.703 0.000 -0.073 0.000 9.304" Properties=species:S:1:pos:R:3 comment="La6TbNd2Dy PBE relaxed" n_ef_per_ev_atom=1.25 total_energy_ev_per_cell=-94.45 vol_a3_per_cell=710 sg="C2/c, No. 15" pbc="T T T"
La 2.441 3.365 6.335
La 4.152 5.452 8.426
La 5.640 5.452 5.531
La 4.209 2.282 0.854
La 5.656 2.282 3.798
La 2.477 -3.365 1.682
La 7.352 3.365 7.622
La 4.173 -2.282 5.507
La 5.620 -2.282 8.450
La 4.189 -5.452 3.774
La 5.676 -5.452 0.878
La 7.388 -3.365 2.970
Tb 4.933 6.623 2.326
Tb 4.896 -6.623 6.978
Nd 2.449 0.689 4.064
Nd 2.412 -0.689 8.716
Nd 7.416 0.689 0.588
Nd 7.380 -0.689 5.240
Dy 4.896 1.034 6.978
Dy 4.933 -1.034 2.326

=====

# 3
8
Lattice="-3.567 3.567 2.746 3.567 -3.567 2.746 3.567 3.567 -2.746" Properties=species:S:1:pos:R:3 comment="Nb2VGe PBE relaxed" n_ef_per_ev_atom=1.12 total_energy_ev_per_cell=-64.66 vol_a3_per_cell=140 sg="I-42d, No. 122" pbc="T T T"
Nb 5.350 1.775 -0.687
Nb 1.775 1.783 0.687
Nb -1.783 1.792 2.060
Nb 1.792 1.783 3.433
V 0.000 0.000 0.000
V 0.000 3.567 1.373
Ge 3.567 0.000 1.373
Ge 0.000 0.000 2.746

=====

# 4
8
Lattice="4.078 0.000 0.000 0.000 4.078 0.000 0.000 0.000 8.119" Properties=species:S:1:pos:R:3 comment="TmInPt6 PBE relaxed" n_ef_per_ev_atom=0.97 total_energy_ev_per_cell=-49.33 vol_a3_per_cell=135 sg="P4/mmm, No. 123" pbc="T T T"
Tm 0.000 0.000 0.000
In 0.000 0.000 4.059
Pt 0.000 2.039 2.051
Pt 0.000 2.039 6.068
Pt 2.039 0.000 2.051
Pt 2.039 0.000 6.068
Pt 2.039 2.039 0.000
Pt 2.039 2.039 4.059

=====

Q: Number 4 is which compound?
A: TmInPt6

=====

Please write out number 1 again, unchanged.
4
Lattice="0.000 3.870 3.870 3.870 0.000 3.870 3.870 3.870 0.000" Properties=species:S:1:pos:R:3 comment="EuThSnHg PBE relaxed" n_ef_per_ev_atom=0.95 total_energy_ev_per_cell=-23.68 vol_a3_per_cell=116 sg="F-43m, No. 216" pbc="T T T"
Eu 0.000 0.000 0.000
Th 3.870 3.870 3.870
Sn 1.935 1.935 1.935
Hg 5.805 5.805 5.805